## Sr2CoGe2O7 (GGA-PBEsol)

Data for a geometry-optimized Sr2CoGe2O7 structure.

Cell lengths 8.1300, 8.1300, 5.3135 Å; angles 90.00, 90.00, 90.00 degrees
Space group P-42_1m (No. 113)
Inequivalent atoms, fractional coordinates:
Sr1 0.1650 0.3350 0.4927
Co1 0.0000 0.0000 0.0000
Ge1 0.1435 0.6435 0.9553
O1 0.0000 0.5000 0.8175
O2 0.0824 0.8232 0.7927
O3 0.1378 0.6378 0.2806

Computed properties:
E_form (uncorrected): -2.036 eV/atom
DFT total energy: -6.873 eV per atom
Fermi-level density of states: 0.40 states/eV/f.u.